Material: SrMnAl2Cd
Method: DFT, PBE
State: relaxed

Summary:
**D(E_F)**: 1.972 states/eV/cell
**Magnetic moment**: 0.68 Bohr magnetons per cell
**V**: 113.72 Å³ per cell
**Formation energy from the elements**: -0.03 eV per atom

```
SrMnAl2Cd
1.0
-1.416 -4.268 1.427
4.085 -0.592 2.284
-2.044 2.081 4.196
Sr Mn Al Cd
1 1 2 1
Cartesian
0.313 -1.390 3.953 Sr
0.000 0.000 0.000 Mn
2.043 -0.296 1.142 Al
-0.708 -2.134 0.713 Al
-1.022 1.040 2.098 Cd
```

Material: SnPbAu3
Method: DFT, PBE
State: relaxed

Summary:
**Polymorph energy (0 for the lowest one)**: 19 meV/atom
**D(E_F)**: 8.458 states/eV/cell
**Magnetic moment**: 0.00 Bohr magnetons per cell
**V**: 460.57 Å³ per cell
**Formation energy from the elements**: -0.07 eV per atom

```
SnPbAu3
1.0
4.359 0.000 0.000
0.000 9.335 0.000
0.000 0.000 11.317
Sn Pb Au
4 4 12
Cartesian
1.090 0.667 7.052 Sn
1.090 5.335 9.924 Sn
3.269 4.000 1.394 Sn
3.269 8.668 4.265 Sn
3.269 7.828 0.156 Pb
1.090 6.176 5.815 Pb
3.269 3.160 5.503 Pb
1.090 1.508 11.161 Pb
1.090 5.918 1.385 Au
3.269 3.418 9.933 Au
1.090 1.250 4.274 Au
3.269 8.086 7.043 Au
1.090 3.278 7.898 Au
3.269 1.389 2.239 Au
1.090 7.946 9.078 Au
3.269 5.331 7.766 Au
1.090 4.004 3.552 Au
3.269 0.663 9.210 Au
3.269 6.057 3.419 Au
1.090 8.672 2.107 Au
```

Material: ZrTe2IBr
Method: DFT, PBE
State: relaxed

Summary:
**Polymorph energy (0 for the lowest one)**: 1079 meV/atom
**D(E_F)**: 7.194 states/eV/cell
**Magnetic moment**: 1.08 Bohr magnetons per cell
**V**: 174.61 Å³ per cell
**Energy relative to the elements, uncorrected**: 0.852 eV per atom

```
ZrTe2IBr
1.0
5.643 0.000 0.000
0.000 5.643 0.000
0.000 0.000 5.484
I Te Br Zr
1 2 1 1
Cartesian
0.000 0.000 2.742 I
0.000 2.821 0.000 Te
2.821 0.000 0.000 Te
0.000 0.000 0.000 Br
2.821 2.821 2.742 Zr
```

Which value of V does entry 3 give? 174.61 Å³ per cell